This record from Alexandria describes a relaxed structure of PmEr2ScTl4. The functional is GGA-PBE.

Output
uncorrected energy = -96.3 eV/cell

Unit cell a=5.3104 b=5.3104 c=26.2131 alpha=90.00 beta=90.00 gamma=120.00
With the nearest neighbours (Å) after each atom.
Space group R-3m (No. 166, hexagonal axes)
Unique sites:
Pm  0.0000  0.0000  0.0000 x3  8 Tl 3.28-3.34
Er  0.0000  0.0000  0.2485 x6  8 Tl 3.17-3.40
Sc  0.0000  0.0000  0.5000 x3  8 Tl 3.20-3.23
Tl  0.0000  0.0000  0.1275 x6  4 Er 3.17-3.26, 3 Sc 3.23, 1 Pm 3.34
Tl  0.0000  0.0000  0.3780 x6  1 Sc 3.20, 4 Er 3.24-3.40, 3 Pm 3.28

This record from Alexandria describes a relaxed structure of Pm2Er3Tm6Sc. The functional is GGA-PBE.

Output
uncorrected energy = -112.0 eV/cell

Unit cell a=6.0597 b=10.4891 c=11.6126 alpha=90.00 beta=100.00 gamma=90.00
With the nearest neighbours (Å) after each atom.
Space group C2/m (No. 12)
Unique sites:
Pm  0.0000  0.1666  0.0000 x4  3 Pm 3.49-3.50, 3 Sc 3.50, 6 Tm 3.51
Er  0.0000  0.0000  0.5000 x2  6 Tm 3.49-3.50, 6 Er 3.50
Er  0.0000  0.3337  0.5000 x4  6 Tm 3.49-3.51, 6 Er 3.49-3.50
Tm  0.2472  0.5000  0.7490 x4  6 Tm 3.47-3.51, 3 Er 3.49-3.50, 1 Sc 3.50, 2 Pm 3.51
Tm  0.2487  0.3347  0.2507 x8  6 Tm 3.47-3.51, 3 Er 3.49-3.51, 1 Sc 3.50, 2 Pm 3.51
Sc  0.0000  0.5000  0.0000 x2  6 Tm 3.50, 6 Pm 3.50

This record from Alexandria describes a relaxed structure of Pm3Er2Tm6Sc. The functional is GGA-PBE.

Output
uncorrected energy = -112.3 eV/cell

Unit cell a=6.0975 b=10.5520 c=11.6102 alpha=90.00 beta=100.07 gamma=90.00
With the nearest neighbours (Å) after each atom.
Space group C2/m (No. 12)
Unique sites:
Pm  0.0000  0.0000  0.0000 x2  6 Pm 3.52, 6 Tm 3.56-3.57
Pm  0.0000  0.3334  0.0000 x4  6 Pm 3.51-3.52, 6 Tm 3.56-3.57
Er  0.0000  0.1665  0.5000 x4  6 Tm 3.45-3.46, 3 Er 3.51-3.52, 3 Sc 3.52
Tm  0.2463  0.3344  0.7441 x8  1 Sc 3.44, 2 Er 3.46, 6 Tm 3.49-3.53, 3 Pm 3.56-3.57
Tm  0.2496  0.0000  0.7442 x4  1 Sc 3.45, 2 Er 3.45, 6 Tm 3.50-3.53, 3 Pm 3.56-3.57
Sc  0.0000  0.5000  0.5000 x2  6 Tm 3.44-3.45, 6 Er 3.52

This record from Alexandria describes a relaxed structure of PmEr2TmSc4. The functional is GGA-PBE.

Output
uncorrected energy = -160.5 eV/cell

Unit cell a=12.9904 b=12.6401 c=6.5062 alpha=90.00 beta=120.05 gamma=90.00
With the nearest neighbours (Å) after each atom.
Space group C2/c (No. 15)
Unique sites:
Pm  0.2500  0.2500  0.0000 x4  6 Sc 3.17-3.25, 2 Er 3.25
Er  0.0000  0.0000  0.0000 x4  6 Sc 3.17-3.26, 2 Er 3.25
Er  0.2500  0.2500  0.5000 x4  6 Sc 3.15-3.24, 2 Pm 3.25
Tm  0.0000  0.5000  0.0000 x4  6 Sc 3.15-3.24, 2 Tm 3.25
Sc  0.0000  0.2508  0.0008 x8  1 Tm 3.15, 3 Er 3.17-3.24, 2 Sc 3.24-3.26, 2 Pm 3.25
Sc  0.2494  0.4990  0.5003 x8  3 Er 3.15-3.26, 1 Pm 3.17, 2 Tm 3.24, 2 Sc 3.25